#A
Density functional theory data (PBE) for KZnO after structural relaxation.

Calculated values
As for the total magnetization: 0.0 μB per cell.

Unit cell a=4.2322 b=6.1663 c=8.4889 alpha=90.00 beta=90.00 gamma=90.00
With the nearest neighbours (Å) after each atom.
Atoms (fractional coordinates):
O 0.2500 0.8076 0.7114  2 Zn 1.98-1.99
O 0.2500 0.3076 0.7886  2 Zn 1.98-1.99
O 0.7500 0.6924 0.2114  2 Zn 1.98-1.99
O 0.7500 0.1924 0.2886  2 Zn 1.98-1.99
K 0.7500 0.5749 0.8693  5 O 2.77-2.99, 2 Zn 3.07
K 0.2500 0.4251 0.1307  5 O 2.77-2.99, 2 Zn 3.07
K 0.7500 0.0749 0.6307  5 O 2.77-2.99, 2 Zn 3.07
K 0.2500 0.9251 0.3693  5 O 2.77-2.99, 2 Zn 3.07
Zn 0.7500 0.9821 0.1111  2 O 1.98-1.99
Zn 0.2500 0.0179 0.8889  2 O 1.98-1.99
Zn 0.7500 0.4821 0.3889  2 O 1.98-1.99
Zn 0.2500 0.5179 0.6111  2 O 1.98-1.99

#B
Density functional theory data (PBE) for KZnO after structural relaxation.

Calculated values
As for the total magnetization: 0.0 μB per cell.

Unit cell a=7.2791 b=7.2791 c=7.7891 alpha=103.82 beta=95.78 gamma=129.55
With the nearest neighbours (Å) after each atom.
Atoms (fractional coordinates):
O 0.7448 0.0646 0.4564  2 Zn 1.95-2.01
O 0.6418 0.4616 0.9564  2 Zn 1.95-2.01
O 0.1832 0.2136 0.0436  2 Zn 1.95-2.01
O 0.0800 0.6104 0.5436  2 Zn 1.95-2.01
K 0.8662 0.7370 0.7514  3 O 2.67-2.74
K 0.9587 0.9381 0.2486  3 O 2.67-2.74
K 0.2644 0.6352 0.2514  3 O 2.67-2.74
K 0.5605 0.0398 0.7486  3 O 2.67-2.74
Zn 0.4951 0.2918 0.1344  2 O 1.95-2.01
Zn 0.3299 0.3833 0.8656  2 O 1.95-2.01
Zn 0.7323 0.2857 0.3656  2 O 1.95-2.01
Zn 0.0926 0.3893 0.6344  2 O 1.95-2.01

#C
Density functional theory data (PBE) for KZnO after structural relaxation.

Calculated values
As for the total magnetization: 0.0 μB per cell.

Unit cell a=4.0866 b=6.4318 c=5.3529 alpha=65.41 beta=116.14 gamma=100.56
With the nearest neighbours (Å) after each atom.
Atoms (fractional coordinates):
K 0.0001 0.5850 0.2075  4 O 2.73-2.84, 2 K 2.85-2.86
K 0.9998 0.4150 0.7925  4 O 2.73-2.84, 2 K 2.85-2.86
O 0.5000 0.2481 0.3759  2 Zn 2.01
O 0.5000 0.7519 0.6241  2 Zn 2.01
Zn 0.4621 0.0000 0.7456  2 O 2.01
Zn 0.5379 0.0000 0.2544  2 O 2.01

Most stable = #B

#A
Density functional theory data (PBE) for KZn2O after structural relaxation.

Calculated values
As for the total magnetization: 0.0 μB per cell.

Unit cell a=7.6106 b=7.6106 c=5.9860 alpha=50.53 beta=50.53 gamma=90.00
With the nearest neighbours (Å) after each atom.
Atoms (fractional coordinates):
K 0.7500 0.2500 0.5000  2 O 2.62
K 0.0000 0.0000 0.0000  2 O 2.62
Zn 0.3750 0.4754 0.7500  2 O 2.31
Zn 0.8750 0.7746 0.7500  2 O 2.31
Zn 0.2254 0.6250 0.2500  2 O 2.31
Zn 0.5246 0.1250 0.2500  2 O 2.31
O 0.5000 0.5000 0.0000  4 Zn 2.31
O 0.2500 0.7500 0.5000  4 Zn 2.31

#B
Density functional theory data (PBE) for KZn2O after structural relaxation.

Calculated values
As for the total magnetization: 0.9 μB per cell.

Unit cell a=4.9384 b=4.9384 c=4.9384 alpha=60.00 beta=60.00 gamma=60.00
With the nearest neighbours (Å) after each atom.
Atoms (fractional coordinates):
O 0.0000 0.0000 0.0000  8 Zn 3.02
Zn 0.2500 0.2500 0.2500  4 K 3.02, 4 O 3.02
Zn 0.7500 0.7500 0.7500  4 K 3.02, 4 O 3.02
K 0.5000 0.5000 0.5000  8 Zn 3.02

Most stable = #A

#A
Density functional theory data (PBE) for K2ZnO after structural relaxation.

Calculated values
As for the total magnetization: 0.0 μB per cell.

Unit cell a=8.3954 b=8.3954 c=6.8405 alpha=52.15 beta=52.15 gamma=90.00
With the nearest neighbours (Å) after each atom.
Atoms (fractional coordinates):
K 0.8750 0.7646 0.7500  2 O 2.55
K 0.5146 0.1250 0.2500  2 O 2.55
K 0.3750 0.4854 0.7500  2 O 2.55
K 0.2354 0.6250 0.2500  2 O 2.55
O 0.2500 0.7500 0.5000  4 K 2.55
O 0.5000 0.5000 0.0000  4 K 2.55
Zn 0.7500 0.2500 0.5000  2 O 3.40, 8 K 3.50-3.78
Zn 0.0000 0.0000 0.0000  2 O 3.40, 8 K 3.50-3.78

#B
Density functional theory data (PBE) for K2ZnO after structural relaxation.

Calculated values
As for the total magnetization: 0.0 μB per cell.

Unit cell a=5.1327 b=5.1327 c=5.1327 alpha=60.00 beta=60.00 gamma=60.00
With the nearest neighbours (Å) after each atom.
Atoms (fractional coordinates):
K 0.7500 0.7500 0.7500  4 O 3.14, 4 Zn 3.14
K 0.2500 0.2500 0.2500  4 O 3.14, 4 Zn 3.14
Zn 0.5000 0.5000 0.5000  8 K 3.14
O 0.0000 0.0000 0.0000  8 K 3.14

Most stable = #A

#A
Density functional theory data (PBE) for KZn2O2 after structural relaxation.

Calculated values
As for the total magnetization: 0.0 μB per cell.

Unit cell a=6.1263 b=6.2574 c=6.2654 alpha=117.42 beta=116.70 gamma=94.55
With the nearest neighbours (Å) after each atom.
Atoms (fractional coordinates):
Zn 0.4382 0.2531 0.5000  3 O 2.05-2.11
Zn 0.5618 0.7469 0.5000  3 O 2.05-2.11
Zn 0.8537 0.8537 0.2074  3 O 1.87-1.96
Zn 0.1463 0.1463 0.7926  3 O 1.87-1.96
K 0.1822 0.6822 0.8644  2 O 2.59
K 0.8178 0.3178 0.1356  2 O 2.59
O 0.8975 0.7894 0.5000  3 Zn 1.96-2.05
O 0.6527 0.6527 0.8053  1 Zn 1.87
O 0.3473 0.3473 0.1947  1 Zn 1.87
O 0.1025 0.2106 0.5000  3 Zn 1.96-2.05

#B
Density functional theory data (PBE) for KZn2O2 after structural relaxation.

Calculated values
As for the total magnetization: 0.0 μB per cell.

Unit cell a=4.0115 b=4.0115 c=5.4116 alpha=68.25 beta=68.25 gamma=90.00
With the nearest neighbours (Å) after each atom.
Atoms (fractional coordinates):
Zn 0.6748 0.6748 0.6505  4 O 2.12
Zn 0.3252 0.3252 0.3495  4 O 2.12
O 0.2500 0.7500 0.5000  4 Zn 2.12
O 0.7500 0.2500 0.5000  4 Zn 2.12
K 0.0000 0.0000 0.0000  10 Zn 3.00-3.26, 8 O 3.05

Most stable = #A

#A
Density functional theory data (PBE) for K3ZrO after structural relaxation.

Calculated values
As for the total magnetization: 3.0 μB per cell.

Unit cell a=6.7684 b=6.7684 c=6.7684 alpha=90.00 beta=90.00 gamma=90.00
With the nearest neighbours (Å) after each atom.
Atoms (fractional coordinates):
O 0.5000 0.5000 0.5000  12 K 4.79
K 0.0000 0.5000 0.0000  2 Zr 3.38
K 0.5000 0.0000 0.0000  2 Zr 3.38
K 0.0000 0.0000 0.5000  2 Zr 3.38
Zr 0.0000 0.0000 0.0000  6 K 3.38

#B
Density functional theory data (PBE) for K3ZrO after structural relaxation.

Calculated values
As for the total magnetization: 3.0 μB per cell.

Unit cell a=5.5560 b=5.5560 c=5.5560 alpha=90.00 beta=90.00 gamma=90.00
With the nearest neighbours (Å) after each atom.
Atoms (fractional coordinates):
K 0.5000 0.0000 0.0000  2 O 2.78
K 0.0000 0.5000 0.0000  2 O 2.78
K 0.0000 0.0000 0.5000  2 O 2.78
O 0.0000 0.0000 0.0000  6 K 2.78
Zr 0.5000 0.5000 0.5000  12 K 3.93

Most stable = #B

#A
Density functional theory data (PBE) for KOs3 after structural relaxation.

Calculated values
As for the total magnetization: 0.0 μB per cell.

Unit cell a=5.6098 b=5.6098 c=4.5785 alpha=90.00 beta=90.00 gamma=102.75
With the nearest neighbours (Å) after each atom.
Atoms (fractional coordinates):
Os 0.9557 0.3921 0.2500  3 Os 2.44-2.59
Os 0.0806 0.9194 0.2500  10 Os 2.69-2.89
Os 0.9194 0.0806 0.7500  10 Os 2.69-2.89
Os 0.3921 0.9557 0.7500  3 Os 2.44-2.59
Os 0.6079 0.0443 0.2500  3 Os 2.44-2.59
Os 0.0443 0.6079 0.7500  3 Os 2.44-2.59
K 0.5438 0.4562 0.7500  2 K 2.41
K 0.4562 0.5438 0.2500  2 K 2.41

#B
Density functional theory data (PBE) for KOs3 after structural relaxation.

Calculated values
As for the total magnetization: 0.0 μB per cell.

Unit cell a=5.8413 b=5.8413 c=6.0538 alpha=71.83 beta=71.83 gamma=26.70
With the nearest neighbours (Å) after each atom.
Atoms (fractional coordinates):
Os 0.5000 0.5000 0.5000  6 Os 2.56-2.70
Os 0.2025 0.2025 0.3757  6 Os 2.51-2.70
Os 0.7975 0.7975 0.6243  6 Os 2.51-2.70
K 0.0000 0.0000 0.0000  2 K 2.70

#C
Density functional theory data (PBE) for KOs3 after structural relaxation.

Calculated values
As for the total magnetization: 0.0 μB per cell.

Unit cell a=4.0658 b=4.0658 c=4.0658 alpha=90.00 beta=90.00 gamma=90.00
With the nearest neighbours (Å) after each atom.
Atoms (fractional coordinates):
Os 0.0000 0.5000 0.5000  4 K 2.87, 8 Os 2.87
Os 0.5000 0.0000 0.5000  8 Os 2.87, 4 K 2.87
Os 0.5000 0.5000 0.0000  8 Os 2.87, 4 K 2.87
K 0.0000 0.0000 0.0000  12 Os 2.87

#D
Density functional theory data (PBE) for KOs3 after structural relaxation.

Calculated values
As for the total magnetization: 0.0 μB per cell.

Unit cell a=2.7109 b=2.7109 c=10.4217 alpha=90.00 beta=90.00 gamma=117.46
With the nearest neighbours (Å) after each atom.
Atoms (fractional coordinates):
Os 0.5000 0.5000 0.7181  8 Os 2.67-2.81
Os 0.0000 0.0000 0.5000  10 Os 2.67-2.81
Os 0.5000 0.5000 0.2819  8 Os 2.67-2.81
K 0.0000 0.0000 0.0000  6 K 2.71-2.81

Most stable = #D